Entry 1:
Zr4Rh | meta-GGA SCAN | single point on PBEsol structure Values from VASP.

The calculation puts the distance to the lowest polymorph of the same formula at 0.8515 eV per atom. The calculation puts the density of states at the Fermi level at 5.52 states/eV/cell. The value obtained for the calculated formation energy is 0.478 eV per atom. The total energy is -154.2 eV for the cell shown.

Geometry as Quantum ESPRESSO input:
```
&SYSTEM
  ibrav = 0, nat = 5, ntyp = 2
/
ATOMIC_SPECIES
Rh 102.91 Rh.upf
Zr 91.22 Zr.upf
CELL_PARAMETERS angstrom
3.673 0.000 0.000
0.000 3.673 0.000
-1.837 -1.837 7.988
ATOMIC_POSITIONS crystal
Rh 0.000 0.000 0.000
Zr 0.750 0.250 0.500
Zr 0.416 0.416 0.833
Zr 0.584 0.584 0.167
Zr 0.250 0.750 0.500
```

***

Entry 2:
ZrRh4 | meta-GGA SCAN | single point on PBEsol structure Values from VASP.

The calculation puts the distance to the lowest polymorph of the same formula at 0.3135 eV per atom. The calculation puts the density of states at the Fermi level at 5.23 states/eV/cell. The value obtained for the calculated formation energy is -0.202 eV per atom. The total energy is -166.8 eV for the cell shown.

Geometry as Quantum ESPRESSO input:
```
&SYSTEM
  ibrav = 0, nat = 5, ntyp = 2
/
ATOMIC_SPECIES
Rh 102.91 Rh.upf
Zr 91.22 Zr.upf
CELL_PARAMETERS angstrom
-1.381 -3.180 1.023
3.134 -1.616 -0.793
1.081 3.387 5.604
ATOMIC_POSITIONS crystal
Rh 0.750 0.250 0.500
Rh 0.400 0.400 0.801
Rh 0.600 0.600 0.199
Rh 0.250 0.750 0.500
Zr 0.000 0.000 0.000
```

***

Entry 3:
Zr5Rh | meta-GGA SCAN | single point on PBEsol structure Values from VASP.

The calculation puts the distance to the lowest polymorph of the same formula at 0.0735 eV per atom. The calculation puts the density of states at the Fermi level at 7.27 states/eV/cell. The value obtained for the calculated formation energy is -0.222 eV per atom. The total energy is -188.6 eV for the cell shown.

Geometry as Quantum ESPRESSO input:
```
&SYSTEM
  ibrav = 0, nat = 6, ntyp = 2
/
ATOMIC_SPECIES
Rh 102.91 Rh.upf
Zr 91.22 Zr.upf
CELL_PARAMETERS angstrom
-1.182 -2.602 -1.526
3.495 -2.856 2.163
-3.951 0.039 6.435
ATOMIC_POSITIONS crystal
Rh 0.000 0.000 0.000
Zr 0.166 0.500 0.331
Zr 0.346 0.000 0.692
Zr 0.500 0.500 0.000
Zr 0.654 0.000 0.308
Zr 0.834 0.500 0.669
```

***

Entry 4:
Zr4Rh | meta-GGA SCAN | single point on PBEsol structure Values from VASP.

The calculation puts the distance to the lowest polymorph of the same formula at 0.0000 eV per atom. The calculation puts the density of states at the Fermi level at 5.41 states/eV/cell. The value obtained for the calculated formation energy is -0.374 eV per atom. The total energy is -158.4 eV for the cell shown.

Geometry as Quantum ESPRESSO input:
```
&SYSTEM
  ibrav = 0, nat = 5, ntyp = 2
/
ATOMIC_SPECIES
Rh 102.91 Rh.upf
Zr 91.22 Zr.upf
CELL_PARAMETERS angstrom
-1.623 2.853 -0.523
-4.136 -1.110 -3.785
-4.235 0.229 3.831
ATOMIC_POSITIONS crystal
Rh 0.000 0.000 0.000
Zr 0.782 0.631 0.805
Zr 0.218 0.369 0.195
Zr 0.587 0.195 0.631
Zr 0.413 0.805 0.369
```

***

> The lowest distance to the lowest polymorph of the same formula belongs to which entry?

number 4

***

> Which value of calculated formation energy does entry 2 give?

-0.202 eV per atom

***

Repeat the second record exactly.
ZrRh4 | meta-GGA SCAN | single point on PBEsol structure Values from VASP.

The calculation puts the distance to the lowest polymorph of the same formula at 0.3135 eV per atom. The calculation puts the density of states at the Fermi level at 5.23 states/eV/cell. The value obtained for the calculated formation energy is -0.202 eV per atom. The total energy is -166.8 eV for the cell shown.

Geometry as Quantum ESPRESSO input:
```
&SYSTEM
  ibrav = 0, nat = 5, ntyp = 2
/
ATOMIC_SPECIES
Rh 102.91 Rh.upf
Zr 91.22 Zr.upf
CELL_PARAMETERS angstrom
-1.381 -3.180 1.023
3.134 -1.616 -0.793
1.081 3.387 5.604
ATOMIC_POSITIONS crystal
Rh 0.750 0.250 0.500
Rh 0.400 0.400 0.801
Rh 0.600 0.600 0.199
Rh 0.250 0.750 0.500
Zr 0.000 0.000 0.000
```

***

Copy entry 4 word for word.
Zr4Rh | meta-GGA SCAN | single point on PBEsol structure Values from VASP.

The calculation puts the distance to the lowest polymorph of the same formula at 0.0000 eV per atom. The calculation puts the density of states at the Fermi level at 5.41 states/eV/cell. The value obtained for the calculated formation energy is -0.374 eV per atom. The total energy is -158.4 eV for the cell shown.

Geometry as Quantum ESPRESSO input:
```
&SYSTEM
  ibrav = 0, nat = 5, ntyp = 2
/
ATOMIC_SPECIES
Rh 102.91 Rh.upf
Zr 91.22 Zr.upf
CELL_PARAMETERS angstrom
-1.623 2.853 -0.523
-4.136 -1.110 -3.785
-4.235 0.229 3.831
ATOMIC_POSITIONS crystal
Rh 0.000 0.000 0.000
Zr 0.782 0.631 0.805
Zr 0.218 0.369 0.195
Zr 0.587 0.195 0.631
Zr 0.413 0.805 0.369
```